(1)
The following is a PBE calculation of a relaxed structure of CaFeRu2, from Alexandria.

Lattice parameters (Å, degrees): 2.994 4.512 4.697 90.00 90.00 90.00
Fractional coordinates of all 4 atoms:
Ca: 0.000 0.000 0.000
Fe: 0.500 0.000 0.500
Ru: 0.000 0.500 0.500
Ru: 0.500 0.500 0.000

E in eV per atom: -6.717
Formation enthalpy at 0 K in eV per formula unit: 2.15


(2)
The following is a PBE calculation of a relaxed structure of Tm3ZnH, from Alexandria.

Lattice parameters (Å, degrees): 4.694 4.694 4.694 90.00 90.00 90.00
Fractional coordinates of all 5 atoms:
Tm: 0.000 0.000 0.500
Tm: 0.000 0.500 0.000
Tm: 0.500 0.000 0.000
Zn: 0.500 0.500 0.500
H: 0.000 0.000 0.000

E in eV per atom: -3.763


(3)
The following is a PBE calculation of a relaxed structure of Yb2CdHg, from Alexandria.

Lattice parameters (Å, degrees): 5.327 5.327 5.327 60.00 60.00 60.00
Fractional coordinates of all 4 atoms:
Yb: 0.250 0.250 0.250
Yb: 0.750 0.750 0.750
Cd: 0.000 0.000 0.000
Hg: 0.500 0.500 0.500

E in eV per atom: -1.567
Formation enthalpy at 0 K in eV per formula unit: -2.00